{"formula": "CsAc2F7", "functional": "PBE-GGA", "state": "optimized geometry", "raw_formation_energy_mev_per_atom": -3897, "space_group": "No. 65", "cell": [[3.9141, -6.2936, 0.0000], [3.9141, 6.2936, 0.0000], [0.0000, 0.0000, 4.8385]], "species": ["Cs", "Ac", "Ac", "F", "F", "F", "F", "F", "F", "F"], "frac_coords": [[0.0000, 0.0000, 0.0000], [0.3069, 0.6931, 0.5000], [0.6931, 0.3069, 0.5000], [0.0432, 0.3356, 0.5000], [0.2861, 0.7139, 0.0000], [0.3356, 0.0432, 0.5000], [0.5000, 0.5000, 0.5000], [0.6644, 0.9568, 0.5000], [0.7139, 0.2861, 0.0000], [0.9568, 0.6644, 0.5000]]}